DFT (PBE-GGA) results for LaReW2 after structural relaxation.

Lattice parameters (Å, degrees): 5.6979 5.6979 2.7603 90.00 90.00 122.85
Closest atoms and distances in Å follow each position.
Atoms (fractional coordinates):
La: 0.0000 0.0000 0.0000  2 Re 2.73, 2 La 2.76
Re: 0.5000 0.5000 0.0000  2 La 2.73, 2 Re 2.76
W: 0.0000 0.5000 0.5000  4 W 2.73-2.76
W: 0.5000 0.0000 0.5000  4 W 2.73-2.76

## Properties
Its energy relative to the elements is 0.96 eV per atom. The energy above the most stable polymorph in this dataset is 0.530 eV/atom. For the total DFT energy (no corrections), the calculation gives -39.4 eV/cell. As for the crystal system: orthorhombic.